Material: Y2SiRu2
Method: DFT, PBE
State: relaxed

As for the theoretical density: 7.03 g cm⁻³. The calculation puts the raw total energy at -39.40 eV/f.u. Its space-group type is P4/mbm.

Cell: 6.5405 6.5405 4.5064 Å, 90.00 90.00 90.00°
Closest atoms and distances in Å follow each position.
Element x y z (fractional)
Y: 0.1771 0.3229 0.0000  6 Ru 2.81-3.08
Y: 0.3229 0.8229 0.0000  6 Ru 2.81-3.08
Y: 0.6771 0.1771 0.0000  6 Ru 2.81-3.08
Y: 0.8229 0.6771 0.0000  6 Ru 2.81-3.08
Si: 0.0000 0.0000 0.5000  4 Ru 2.52
Si: 0.5000 0.5000 0.5000  4 Ru 2.52
Ru: 0.1408 0.6408 0.5000  2 Si 2.52, 1 Ru 2.60, 2 Y 2.81
Ru: 0.3592 0.1408 0.5000  2 Si 2.52, 1 Ru 2.60, 2 Y 2.81
Ru: 0.6408 0.8592 0.5000  2 Si 2.52, 1 Ru 2.60, 2 Y 2.81
Ru: 0.8592 0.3592 0.5000  2 Si 2.52, 1 Ru 2.60, 2 Y 2.81